## Tb10DyTh4 (PBE-GGA)

Data for an optimized crystal structure of Tb10DyTh4.

a = 8.713 Å, b = 8.713 Å, c = 8.713 Å
α = 112.30°, β = 112.30°, γ = 103.95°
Atoms (fractional coordinates):
Tb 0.043 0.946 0.672
Tb 0.054 0.726 0.097
Tb 0.250 0.750 0.500
Tb 0.274 0.371 0.328
Tb 0.371 0.043 0.097
Tb 0.629 0.957 0.903
Tb 0.726 0.629 0.672
Tb 0.750 0.250 0.500
Tb 0.946 0.274 0.903
Tb 0.957 0.054 0.328
Dy 0.500 0.500 0.000
Th 0.162 0.564 0.726
Th 0.436 0.162 0.598
Th 0.564 0.838 0.402
Th 0.838 0.436 0.274

## Properties
* magnetization: 0.00 Bohr magnetons per cell
* energy relative to the elements: 0.389 eV per atom
* DOS at the Fermi energy: 24.06 states/eV per cell



## TbDy14Th (PBE-GGA)

Data for an optimized crystal structure of TbDy14Th.

a = 7.093 Å, b = 7.093 Å, c = 10.023 Å
α = 90.00°, β = 90.00°, γ = 90.00°
Atoms (fractional coordinates):
Tb 0.000 0.000 0.000
Dy 0.000 0.000 0.500
Dy 0.000 0.500 0.000
Dy 0.000 0.500 0.500
Dy 0.252 0.252 0.249
Dy 0.252 0.252 0.751
Dy 0.252 0.748 0.249
Dy 0.252 0.748 0.751
Dy 0.500 0.000 0.000
Dy 0.500 0.000 0.500
Dy 0.500 0.500 0.500
Dy 0.748 0.252 0.249
Dy 0.748 0.252 0.751
Dy 0.748 0.748 0.249
Dy 0.748 0.748 0.751
Th 0.500 0.500 0.000

## Properties
* magnetization: 0.00 Bohr magnetons per cell
* energy relative to the elements: 0.018 eV per atom
* DOS at the Fermi energy: 19.45 states/eV per cell



## Tb8Dy2Th3 (PBE-GGA)

Data for an optimized crystal structure of Tb8Dy2Th3.

a = 10.718 Å, b = 10.718 Å, c = 5.592 Å
α = 90.02°, β = 90.02°, γ = 43.04°
Atoms (fractional coordinates):
Tb 0.098 0.688 0.000
Tb 0.170 0.170 0.500
Tb 0.312 0.902 0.000
Tb 0.371 0.371 0.500
Tb 0.629 0.629 0.500
Tb 0.688 0.098 0.000
Tb 0.830 0.830 0.500
Tb 0.902 0.312 0.000
Dy 0.261 0.261 0.001
Dy 0.739 0.739 0.999
Th 0.205 0.795 0.500
Th 0.500 0.500 0.000
Th 0.795 0.205 0.500

## Properties
* magnetization: 0.00 Bohr magnetons per cell
* energy relative to the elements: 0.269 eV per atom
* DOS at the Fermi energy: 21.87 states/eV per cell



## TbDyTh (PBE-GGA)

Data for an optimized crystal structure of TbDyTh.

a = 3.573 Å, b = 3.573 Å, c = 8.679 Å
α = 90.00°, β = 90.00°, γ = 120.00°
Atoms (fractional coordinates):
Tb 0.000 0.000 0.000
Dy 0.667 0.333 0.347
Th 0.333 0.667 0.673

## Properties
* magnetization: 0.00 Bohr magnetons per cell
* energy relative to the elements: 0.022 eV per atom
* DOS at the Fermi energy: 4.91 states/eV per cell



## Tb4DyTh5 (PBE-GGA)

Data for an optimized crystal structure of Tb4DyTh5.

a = 11.330 Å, b = 11.330 Å, c = 8.370 Å
α = 92.01°, β = 92.01°, γ = 17.98°
Atoms (fractional coordinates):
Tb 0.093 0.093 0.240
Tb 0.322 0.322 0.490
Tb 0.678 0.678 0.510
Tb 0.907 0.907 0.760
Dy 0.500 0.500 0.500
Th 0.113 0.113 0.823
Th 0.237 0.237 0.163
Th 0.500 0.500 0.000
Th 0.763 0.763 0.837
Th 0.887 0.887 0.177

## Properties
* magnetization: 0.00 Bohr magnetons per cell
* energy relative to the elements: 0.222 eV per atom
* DOS at the Fermi energy: 15.29 states/eV per cell



## Tb3Dy5Th (PBE-GGA)

Data for an optimized crystal structure of Tb3Dy5Th.

a = 9.506 Å, b = 9.506 Å, c = 9.792 Å
α = 120.97°, β = 120.97°, γ = 73.82°
Atoms (fractional coordinates):
Tb 0.000 0.000 0.000
Tb 0.006 0.006 0.698
Tb 0.479 0.479 0.817
Tb 0.500 0.500 0.500
Tb 0.521 0.521 0.183
Tb 0.994 0.994 0.302
Dy 0.103 0.603 0.950
Dy 0.221 0.221 0.713
Dy 0.243 0.757 0.500
Dy 0.273 0.273 0.092
Dy 0.397 0.897 0.050
Dy 0.603 0.103 0.950
Dy 0.727 0.727 0.908
Dy 0.757 0.243 0.500
Dy 0.779 0.779 0.287
Dy 0.897 0.397 0.050
Th 0.252 0.252 0.412
Th 0.748 0.748 0.588

## Properties
* magnetization: 0.00 Bohr magnetons per cell
* energy relative to the elements: 0.541 eV per atom
* DOS at the Fermi energy: 26.90 states/eV per cell



## Tb19Dy4Th6 (PBE-GGA)

Data for an optimized crystal structure of Tb19Dy4Th6.

a = 10.791 Å, b = 10.791 Å, c = 10.791 Å
α = 109.47°, β = 109.47°, γ = 109.47°
Atoms (fractional coordinates):
Tb 0.000 0.000 0.000
Tb 0.000 0.265 0.265
Tb 0.000 0.735 0.735
Tb 0.020 0.807 0.344
Tb 0.193 0.212 0.536
Tb 0.212 0.536 0.193
Tb 0.265 0.000 0.265
Tb 0.265 0.265 0.000
Tb 0.324 0.788 0.980
Tb 0.344 0.020 0.807
Tb 0.464 0.676 0.656
Tb 0.536 0.193 0.212
Tb 0.656 0.464 0.676
Tb 0.676 0.656 0.464
Tb 0.735 0.000 0.735
Tb 0.735 0.735 0.000
Tb 0.788 0.980 0.324
Tb 0.807 0.344 0.020
Tb 0.980 0.324 0.788
Dy 0.000 0.000 0.644
Dy 0.000 0.644 0.000
Dy 0.356 0.356 0.356
Dy 0.644 0.000 0.000
Th 0.130 0.630 0.500
Th 0.370 0.500 0.870
Th 0.500 0.130 0.630
Th 0.500 0.870 0.370
Th 0.630 0.500 0.130
Th 0.870 0.370 0.500

## Properties
* magnetization: 0.00 Bohr magnetons per cell
* energy relative to the elements: 0.415 eV per atom
* DOS at the Fermi energy: 42.54 states/eV per cell



## Tb12Dy5Th2 (PBE-GGA)

Data for an optimized crystal structure of Tb12Dy5Th2.

a = 9.080 Å, b = 9.080 Å, c = 8.596 Å
α = 91.83°, β = 91.83°, γ = 62.03°
Atoms (fractional coordinates):
Tb 0.059 0.059 0.332
Tb 0.063 0.678 0.331
Tb 0.171 0.529 0.759
Tb 0.322 0.937 0.669
Tb 0.423 0.423 0.122
Tb 0.471 0.829 0.241
Tb 0.529 0.171 0.759
Tb 0.577 0.577 0.878
Tb 0.678 0.063 0.331
Tb 0.829 0.471 0.241
Tb 0.937 0.322 0.669
Tb 0.941 0.941 0.668
Dy 0.202 0.202 0.025
Dy 0.268 0.268 0.428
Dy 0.500 0.500 0.500
Dy 0.732 0.732 0.572
Dy 0.798 0.798 0.975
Th 0.172 0.828 0.000
Th 0.828 0.172 0.000

## Properties
* magnetization: 0.00 Bohr magnetons per cell
* energy relative to the elements: 0.150 eV per atom
* DOS at the Fermi energy: 28.54 states/eV per cell



## Tb4Dy2Th3 (PBE-GGA)

Data for an optimized crystal structure of Tb4Dy2Th3.

a = 3.560 Å, b = 3.560 Å, c = 26.522 Å
α = 90.00°, β = 90.00°, γ = 120.00°
Atoms (fractional coordinates):
Tb 0.000 0.000 0.000
Tb 0.000 0.000 0.218
Tb 0.333 0.667 0.328
Tb 0.333 0.667 0.548
Dy 0.000 0.000 0.656
Dy 0.000 0.000 0.874
Th 0.000 0.000 0.438
Th 0.333 0.667 0.107
Th 0.333 0.667 0.768

## Properties
* magnetization: 0.00 Bohr magnetons per cell
* energy relative to the elements: 0.081 eV per atom
* DOS at the Fermi energy: 18.29 states/eV per cell



## Tb4DyTh3 (PBE-GGA)

Data for an optimized crystal structure of Tb4DyTh3.

a = 5.040 Å, b = 10.094 Å, c = 10.118 Å
α = 90.00°, β = 90.00°, γ = 90.00°
Atoms (fractional coordinates):
Tb 0.250 0.001 0.128
Tb 0.250 0.250 0.874
Tb 0.250 0.499 0.128
Tb 0.250 0.750 0.869
Tb 0.750 0.250 0.131
Tb 0.750 0.501 0.872
Tb 0.750 0.750 0.126
Tb 0.750 0.999 0.872
Dy 0.250 0.750 0.378
Dy 0.750 0.250 0.622
Th 0.250 0.250 0.376
Th 0.250 0.502 0.623
Th 0.250 0.998 0.623
Th 0.750 0.002 0.377
Th 0.750 0.498 0.377
Th 0.750 0.750 0.624

## Properties
* magnetization: 0.00 Bohr magnetons per cell
* energy relative to the elements: 0.032 eV per atom
* DOS at the Fermi energy: 22.29 states/eV per cell